# Er2Ni15B9

A relaxed Er2Ni15B9 crystal (GGA-PBE, OQMD).

space group: Cmce, No. 64

Lattice parameters (Å, degrees): 9.833 9.833 11.256 90.00 90.00 72.36
Fractional positions:
Er  0.191  0.309  0.250
Er  0.239  0.761  0.959
Er  0.261  0.739  0.459
Er  0.309  0.191  0.750
Er  0.691  0.809  0.250
Er  0.739  0.261  0.541
Er  0.761  0.239  0.041
Er  0.809  0.691  0.750
Ni  0.000  0.000  0.000
Ni  0.000  0.000  0.500
Ni  0.005  0.227  0.882
Ni  0.009  0.184  0.660
Ni  0.011  0.831  0.807
Ni  0.029  0.757  0.597
Ni  0.053  0.607  0.915
Ni  0.069  0.431  0.750
Ni  0.107  0.553  0.415
Ni  0.136  0.337  0.530
Ni  0.163  0.364  0.970
Ni  0.169  0.989  0.807
Ni  0.184  0.009  0.340
Ni  0.227  0.005  0.118
Ni  0.234  0.766  0.212
Ni  0.243  0.971  0.597
Ni  0.257  0.529  0.097
Ni  0.266  0.734  0.712
Ni  0.273  0.495  0.618
Ni  0.316  0.491  0.840
Ni  0.331  0.511  0.307
Ni  0.337  0.136  0.470
Ni  0.364  0.163  0.030
Ni  0.393  0.947  0.915
Ni  0.431  0.069  0.250
Ni  0.447  0.893  0.415
Ni  0.471  0.743  0.097
Ni  0.489  0.669  0.307
Ni  0.491  0.316  0.160
Ni  0.495  0.273  0.382
Ni  0.500  0.500  0.000
Ni  0.500  0.500  0.500
Ni  0.505  0.727  0.618
Ni  0.509  0.684  0.840
Ni  0.511  0.331  0.693
Ni  0.529  0.257  0.903
Ni  0.553  0.107  0.585
Ni  0.569  0.931  0.750
Ni  0.607  0.053  0.085
Ni  0.636  0.837  0.970
Ni  0.663  0.864  0.530
Ni  0.669  0.489  0.693
Ni  0.684  0.509  0.160
Ni  0.727  0.505  0.382
Ni  0.734  0.266  0.288
Ni  0.743  0.471  0.903
Ni  0.757  0.029  0.403
Ni  0.766  0.234  0.788
Ni  0.773  0.995  0.882
Ni  0.816  0.991  0.660
Ni  0.831  0.011  0.193
Ni  0.837  0.636  0.030
Ni  0.864  0.663  0.470
Ni  0.893  0.447  0.585
Ni  0.931  0.569  0.250
Ni  0.947  0.393  0.085
Ni  0.971  0.243  0.403
Ni  0.989  0.169  0.193
Ni  0.991  0.816  0.340
Ni  0.995  0.773  0.118
B  0.045  0.955  0.672
B  0.049  0.550  0.100
B  0.050  0.549  0.600
B  0.057  0.943  0.199
B  0.094  0.203  0.051
B  0.121  0.621  0.244
B  0.121  0.621  0.744
B  0.135  0.135  0.500
B  0.203  0.094  0.949
B  0.297  0.406  0.449
B  0.365  0.365  0.000
B  0.379  0.879  0.244
B  0.379  0.879  0.744
B  0.406  0.297  0.551
B  0.443  0.557  0.699
B  0.450  0.951  0.100
B  0.451  0.950  0.600
B  0.455  0.545  0.172
B  0.545  0.455  0.828
B  0.549  0.050  0.400
B  0.550  0.049  0.900
B  0.557  0.443  0.301
B  0.594  0.703  0.449
B  0.621  0.121  0.256
B  0.621  0.121  0.756
B  0.635  0.635  0.000
B  0.703  0.594  0.551
B  0.797  0.906  0.051
B  0.865  0.865  0.500
B  0.879  0.379  0.256
B  0.879  0.379  0.756
B  0.906  0.797  0.949
B  0.943  0.057  0.801
B  0.950  0.451  0.400
B  0.951  0.450  0.900
B  0.955  0.045  0.328

***

# Pr2SmNi4Ge4

A relaxed Pr2SmNi4Ge4 crystal (GGA-PBE, OQMD).

space group: Immm, No. 71

Lattice parameters (Å, degrees): 12.369 12.369 12.369 160.80 160.54 27.47
Fractional positions:
Pr  0.150  0.150  0.000
Pr  0.850  0.850  0.000
Sm  0.500  0.000  0.500
Ni  0.251  0.751  0.500
Ni  0.402  0.402  0.000
Ni  0.598  0.598  0.000
Ni  0.749  0.249  0.500
Ge  0.053  0.553  0.500
Ge  0.301  0.301  0.000
Ge  0.699  0.699  0.000
Ge  0.947  0.447  0.500

***

# ZrC

A relaxed ZrC crystal (GGA-PBE, OQMD).

space group: Fm-3m, No. 225

Lattice parameters (Å, degrees): 3.346 3.346 3.346 60.00 60.00 60.00
Fractional positions:
Zr  0.000  0.000  0.000
C  0.500  0.500  0.500

***

# GaTcNiOs

A relaxed GaTcNiOs crystal (GGA-PBE, OQMD).

space group: F-43m, No. 216

Lattice parameters (Å, degrees): 4.258 4.258 4.258 60.00 60.00 60.00
Fractional positions:
Ga  0.000  0.000  0.000
Tc  0.750  0.750  0.750
Ni  0.250  0.250  0.250
Os  0.500  0.500  0.500

***

# SmZrPO

A relaxed SmZrPO crystal (GGA-PBE, OQMD).

space group: Pmma, No. 51

Lattice parameters (Å, degrees): 5.159 4.047 7.618 90.00 90.00 90.00
Fractional positions:
Sm  0.250  0.000  0.137
Sm  0.750  0.000  0.863
Zr  0.250  0.500  0.716
Zr  0.750  0.500  0.284
P  0.250  0.500  0.375
P  0.750  0.500  0.625
O  0.250  0.000  0.820
O  0.750  0.000  0.180

***

# Pr3Al

A relaxed Pr3Al crystal (GGA-PBE, OQMD).

space group: P6_3/mmc, No. 194

Lattice parameters (Å, degrees): 7.173 7.173 5.440 90.00 90.00 120.00
Fractional positions:
Pr  0.178  0.357  0.250
Pr  0.178  0.822  0.250
Pr  0.357  0.178  0.750
Pr  0.643  0.822  0.250
Pr  0.822  0.178  0.750
Pr  0.822  0.643  0.750
Al  0.333  0.667  0.750
Al  0.667  0.333  0.250

***

# KNbBr3

A relaxed KNbBr3 crystal (GGA-PBE, OQMD).

space group: Pm-3m, No. 221

Lattice parameters (Å, degrees): 5.449 5.449 5.449 90.00 90.00 90.00
Fractional positions:
K  0.000  0.000  0.000
Nb  0.500  0.500  0.500
Br  0.000  0.500  0.500
Br  0.500  0.000  0.500
Br  0.500  0.500  0.000

***

# ZnSnS3

A relaxed ZnSnS3 crystal (GGA-PBE, OQMD).

space group: R3c, No. 161

Lattice parameters (Å, degrees): 6.836 6.836 6.836 56.06 56.06 56.06
Fractional positions:
Zn  0.000  0.000  0.000
Zn  0.500  0.500  0.500
Sn  0.215  0.215  0.215
Sn  0.715  0.715  0.715
S  0.118  0.401  0.804
S  0.304  0.901  0.618
S  0.401  0.804  0.118
S  0.618  0.304  0.901
S  0.804  0.118  0.401
S  0.901  0.618  0.304

***

# NaTaInIr

A relaxed NaTaInIr crystal (GGA-PBE, OQMD).

space group: F-43m, No. 216

Lattice parameters (Å, degrees): 4.604 4.604 4.604 60.00 60.00 60.00
Fractional positions:
Na  0.000  0.000  0.000
Ta  0.250  0.250  0.250
In  0.750  0.750  0.750
Ir  0.500  0.500  0.500

***

# Cu2GeTe2F2

A relaxed Cu2GeTe2F2 crystal (GGA-PBE, OQMD).

space group: P-4m2, No. 115

Lattice parameters (Å, degrees): 3.740 3.740 8.998 90.00 90.00 90.00
Fractional positions:
Cu  0.000  0.500  0.134
Cu  0.500  0.000  0.866
Ge  0.000  0.000  0.500
Te  0.000  0.500  0.716
Te  0.500  0.000  0.284
F  0.000  0.000  0.000
F  0.500  0.500  0.000

***

VASP energy list, top to bottom, in Ry per atom: -0.463; -0.420; -0.713; -0.549; -0.567; -0.345; -0.299; -0.288; -0.455; -0.268
Volume list, top to bottom, in Å³ per atom: 9.97; 18.84; 13.24; 13.65; 19.88; 30.30; 32.36; 20.53; 17.25; 17.98